# RbNa8Ga3P6

A geometry-optimized RbNa8Ga3P6 structure (PBE-GGA, Alexandria via LeMat-Bulk).

* VASP energy: -3.37 eV per atom

Cell lengths 4.7058, 16.4419, 22.3907 Å; angles 90.00, 90.00, 90.00 degrees
Closest atoms and distances in Å follow each position.
Positions (direct):
Rb 0.2500 0.8081 0.5008  6 P 3.51-3.64, 2 Ga 3.68, 5 Na 3.72-3.86
Rb 0.2500 0.6919 0.0008  6 P 3.51-3.64, 2 Ga 3.68, 5 Na 3.72-3.86
Rb 0.7500 0.1919 0.4992  6 P 3.51-3.64, 2 Ga 3.68, 5 Na 3.72-3.86
Rb 0.7500 0.3081 0.9992  6 P 3.51-3.64, 2 Ga 3.68, 5 Na 3.72-3.86
Na 0.2500 0.0324 0.5521  4 P 2.93-3.08
Na 0.2500 0.4676 0.0521  4 P 2.93-3.08
Na 0.7500 0.9676 0.4479  4 P 2.93-3.08
Na 0.7500 0.5324 0.9479  4 P 2.93-3.08
Na 0.2500 0.3511 0.5572  4 P 2.91-3.04
Na 0.2500 0.1489 0.0572  4 P 2.91-3.04
Na 0.7500 0.6489 0.4428  4 P 2.91-3.04
Na 0.7500 0.8511 0.9428  4 P 2.91-3.04
Na 0.2500 0.9215 0.6805  5 P 2.95-3.21, 2 Ga 3.22
Na 0.2500 0.5785 0.1805  5 P 2.95-3.21, 2 Ga 3.22
Na 0.7500 0.0785 0.3195  5 P 2.95-3.21, 2 Ga 3.22
Na 0.7500 0.4215 0.8195  5 P 2.95-3.21, 2 Ga 3.22
Na 0.2500 0.6926 0.6809  6 Ga 3.27-3.29, 6 P 3.29-3.42
Na 0.2500 0.8074 0.1809  6 Ga 3.27-3.29, 6 P 3.29-3.42
Na 0.7500 0.3074 0.3191  6 Ga 3.27-3.29, 6 P 3.29-3.42
Na 0.7500 0.1926 0.8191  6 Ga 3.27-3.29, 6 P 3.29-3.42
Na 0.2500 0.4575 0.6916  3 P 2.92-3.11, 2 Ga 3.24
Na 0.2500 0.0425 0.1916  3 P 2.92-3.11, 2 Ga 3.24
Na 0.7500 0.5425 0.3084  3 P 2.92-3.11, 2 Ga 3.24
Na 0.7500 0.9575 0.8084  3 P 2.92-3.11, 2 Ga 3.24
Na 0.2500 0.7995 0.8369  3 P 2.91-3.13, 2 Ga 3.19
Na 0.2500 0.7005 0.3369  3 P 2.91-3.13, 2 Ga 3.19
Na 0.7500 0.2005 0.1631  3 P 2.91-3.13, 2 Ga 3.19
Na 0.7500 0.2995 0.6631  3 P 2.91-3.13, 2 Ga 3.19
Na 0.2500 0.5807 0.8404  5 P 2.95-3.28, 2 Ga 3.23
Na 0.2500 0.9193 0.3404  5 P 2.95-3.28, 2 Ga 3.23
Na 0.7500 0.4193 0.1596  5 P 2.95-3.28, 2 Ga 3.23
Na 0.7500 0.0807 0.6596  5 P 2.95-3.28, 2 Ga 3.23
Na 0.2500 0.9438 0.0400  3 P 2.90-3.18, 2 Ga 3.19
Na 0.2500 0.5562 0.5400  3 P 2.90-3.18, 2 Ga 3.19
Na 0.7500 0.0562 0.9600  3 P 2.90-3.18, 2 Ga 3.19
Na 0.7500 0.4438 0.4600  3 P 2.90-3.18, 2 Ga 3.19
Ga 0.2500 0.1908 0.7164  3 P 2.26-2.33
Ga 0.2500 0.3092 0.2164  3 P 2.26-2.33
Ga 0.7500 0.8092 0.2836  3 P 2.26-2.33
Ga 0.7500 0.6908 0.7836  3 P 2.26-2.33
Ga 0.2500 0.0689 0.8644  3 P 2.28-2.32
Ga 0.2500 0.4311 0.3644  3 P 2.28-2.32
Ga 0.7500 0.9311 0.1356  3 P 2.28-2.32
Ga 0.7500 0.5689 0.6356  3 P 2.28-2.32
Ga 0.2500 0.3095 0.8728  3 P 2.28-2.35
Ga 0.2500 0.1905 0.3728  3 P 2.28-2.35
Ga 0.7500 0.6905 0.1272  3 P 2.28-2.35
Ga 0.7500 0.8095 0.6272  3 P 2.28-2.35
P 0.2500 0.1920 0.6154  1 Ga 2.26
P 0.2500 0.3080 0.1154  1 Ga 2.26
P 0.7500 0.8080 0.3846  1 Ga 2.26
P 0.7500 0.6920 0.8846  1 Ga 2.26
P 0.2500 0.0637 0.7611  2 Ga 2.31-2.32
P 0.2500 0.4363 0.2611  2 Ga 2.31-2.32
P 0.7500 0.9363 0.2389  2 Ga 2.31-2.32
P 0.7500 0.5637 0.7389  2 Ga 2.31-2.32
P 0.2500 0.3137 0.7680  2 Ga 2.33-2.35
P 0.2500 0.1863 0.2680  2 Ga 2.33-2.35
P 0.7500 0.6863 0.2320  2 Ga 2.33-2.35
P 0.7500 0.8137 0.7320  2 Ga 2.33-2.35
P 0.2500 0.9454 0.9104  1 Ga 2.28
P 0.2500 0.5546 0.4104  1 Ga 2.28
P 0.7500 0.0546 0.0896  1 Ga 2.28
P 0.7500 0.4454 0.5896  1 Ga 2.28
P 0.2500 0.4346 0.9168  1 Ga 2.28
P 0.2500 0.0654 0.4168  1 Ga 2.28
P 0.7500 0.5654 0.0832  1 Ga 2.28
P 0.7500 0.9346 0.5832  1 Ga 2.28
P 0.2500 0.1845 0.9241  2 Ga 2.32-2.35
P 0.2500 0.3155 0.4241  2 Ga 2.32-2.35
P 0.7500 0.8155 0.0759  2 Ga 2.32-2.35
P 0.7500 0.6845 0.5759  2 Ga 2.32-2.35